{"formula": "CdCo2PdO", "functional": "PBE with a Hubbard U", "state": "optimized geometry", "lattice_angstrom": [[-1.8161, -1.0468, 3.2804], [3.1275, -3.7213, 0.5440], [2.3793, 2.2995, 2.0510]], "species": ["Co", "Co", "O", "Cd", "Pd"], "frac_coords": [[0.5000, 0.0000, 0.0000], [0.0000, 0.0000, 0.5000], [0.0000, 0.0000, 0.0000], [0.0000, 0.5000, 0.0000], [0.5000, 0.5000, 0.5000]], "energy_ev_per_atom": -4.308, "space_group": "No. 123", "mass_density_g_cm3": 7.90}